Below is Tc2BRu after structural relaxation, with properties calculated at the PBE level.

Computed properties:
Calculated density (g/cm3): 10.472
Distance to the lowest polymorph of the same formula (meV per atom): 0
Calculated volume (A^3/atom): 12.20
Crystal system: monoclinic
Spin magnetization (μB/f.u.): 0.0
Formation enthalpy at 0 K (eV/atom): -0.2218
Symmetry: No. 11

```
Tc2BRu
1.0
2.8332 -0.0002 0.0000
-1.4160 4.6622 0.0000
0.0000 0.0000 7.3920
Tc B Ru
4 2 2
Direct
0.3717 0.7418 0.5681
0.6283 0.2582 0.4319
0.3717 0.7418 0.9319
0.6283 0.2582 0.0681
0.7580 0.5146 0.7500
0.2420 0.4854 0.2500
0.9203 0.8408 0.2500
0.0797 0.1592 0.7500
```